Below is a geometry-optimized ZrCu3Pd structure, with properties calculated at the PBE level.

Unit cell a=4.765 b=5.273 c=6.172 alpha=90.00 beta=105.13 gamma=90.00
Atoms (fractional coordinates):
Zr1 0.097 0.250 0.208
Zr2 0.903 0.750 0.792
Cu1 0.356 0.501 0.645
Cu2 0.356 0.999 0.645
Cu3 0.479 0.750 0.016
Cu4 0.521 0.250 0.984
Cu5 0.644 0.001 0.355
Cu6 0.644 0.499 0.355
Pd1 0.095 0.750 0.277
Pd2 0.905 0.250 0.723

Calculated values
Energy of formation from the pure elements (meV per atom): -195
Total DFT energy (no corrections) (eV/atom): -5.401
Polymorph energy (0 for the lowest one) (kcal/mol of atoms): 0.00